Compound: Tb3IrO6
Source: Alexandria
Functional: PBE-GGA
Structure: relaxed

Lattice parameters (Å, degrees): 5.718 7.123 7.123 102.75 90.00 90.00
Fractional coordinates of all 20 atoms:
Tb  0.465  0.905  0.695
Tb  0.965  0.695  0.905
Tb  0.415  0.401  0.599
Tb  0.915  0.599  0.401
Tb  0.965  0.095  0.305
Tb  0.465  0.305  0.095
Ir  0.974  0.199  0.801
Ir  0.474  0.801  0.199
O  0.194  0.676  0.642
O  0.694  0.642  0.676
O  0.213  0.416  0.891
O  0.713  0.891  0.416
O  0.204  0.053  0.947
O  0.649  0.213  0.787
O  0.149  0.787  0.213
O  0.704  0.947  0.053
O  0.213  0.109  0.584
O  0.713  0.584  0.109
O  0.194  0.358  0.324
O  0.694  0.324  0.358

Computed properties:
Formation energy from raw total energies = -2.6135 eV/atom
Relative energy among the computed polymorphs = 160 meV per atom

***

Compound: TbNd12Y5
Source: Alexandria
Functional: PBE-GGA
Structure: relaxed

Lattice parameters (Å, degrees): 15.433 10.924 5.165 90.00 90.00 45.15
Fractional coordinates of all 18 atoms:
Tb  0.000  0.000  0.000
Nd  0.834  0.000  0.500
Nd  0.166  0.000  0.500
Nd  0.666  0.000  0.000
Nd  0.334  0.000  0.000
Nd  0.332  0.667  0.000
Nd  0.001  0.667  0.000
Nd  0.999  0.333  0.000
Nd  0.668  0.333  0.000
Nd  0.500  0.333  0.500
Nd  0.833  0.667  0.500
Nd  0.167  0.333  0.500
Nd  0.500  0.667  0.500
Y  0.500  0.000  0.500
Y  0.167  0.667  0.500
Y  0.833  0.333  0.500
Y  0.667  0.667  0.000
Y  0.333  0.333  0.000

Computed properties:
Formation energy = 0.3 eV per formula unit

***

| no. | uncorrected energy (eV per atom) |
| --- | --- |
| 1 | -7.864 |
| 2 | -5.214 |